Material: AlZnTe
Method: DFT, PBE
State: optimized geometry

Summary:
The value obtained for the theoretical density is 5.193 g/cm³. As for the space-group type: P3m1. For the offset from the most stable computed form, the calculation gives 0 meV per atom. Its formation energy without anion corrections is -10 kJ/mol of formula units.

abc: 3.9645 3.9645 5.1677
angles: 90.00 90.00 120.00
Closest atoms and distances in Å follow each position.
Fractional coordinates of all 3 atoms:
Zn (0.3333, 0.6667, 0.6947)  3 Al 2.77, 3 Te 3.03
Te (0.6667, 0.3333, 0.3098)  3 Al 2.81, 3 Zn 3.03
Al (0.0000, 0.0000, 0.9955)  3 Zn 2.77, 3 Te 2.81

***

Material: Ho4Ni2Ag
Method: DFT, PBE
State: optimized geometry

Summary:
The value obtained for the theoretical density is 9.189 g/cm³. The value obtained for the calculated total energy is -69.6 eV for the cell shown. As for the space-group type: Cc.

abc: 6.8365 6.7947 8.2494
angles: 107.60 107.82 105.28
Closest atoms and distances in Å follow each position.
Fractional coordinates of all 14 atoms:
Ho (0.8992, 0.6343, 0.1849)  3 Ni 2.78-2.88, 1 Ag 3.01
Ho (0.3849, 0.4742, 0.1955)  3 Ni 2.70-2.92, 1 Ag 2.97
Ho (0.9643, 0.1993, 0.3149)  3 Ni 2.78-2.88, 1 Ag 3.01
Ho (0.7497, 0.1791, 0.7762)  3 Ni 2.72-2.92
Ho (0.4396, 0.0288, 0.3047)  3 Ni 2.70-2.92, 1 Ag 2.97
Ho (0.4935, 0.7426, 0.8918)  3 Ni 2.72-2.86, 1 Ag 2.91
Ho (0.2236, 0.1532, 0.7240)  3 Ni 2.72-2.92
Ho (0.8519, 0.6005, 0.6081)  3 Ni 2.72-2.86, 1 Ag 2.91
Ag (0.0393, 0.9565, 0.9830)  1 Ni 2.75, 3 Ho 2.91-3.01
Ag (0.3060, 0.7236, 0.5169)  1 Ni 2.75, 3 Ho 2.91-3.01
Ni (0.7709, 0.8974, 0.4405)  7 Ho 2.70-2.92
Ni (0.5804, 0.2072, 0.0596)  7 Ho 2.70-2.92
Ni (0.1163, 0.5695, 0.9355)  5 Ho 2.72-2.88, 1 Ag 2.75
Ni (0.4307, 0.3841, 0.5645)  5 Ho 2.72-2.88, 1 Ag 2.75